No. 1
DFT (PBEsol) results for ScOs2Cl after structural relaxation.

a = 3.1477 Å, b = 4.3720 Å, c = 4.3720 Å
α = 90.00°, β = 90.00°, γ = 90.00°
Sites, in units of the cell vectors:
Sc  0.5000  0.5000  0.5000
Cl  0.5000  0.0000  0.0000
Os  0.0000  0.5000  0.0000
Os  0.0000  0.0000  0.5000

Summary:
VASP energy (eV/cell): -30.04
Symmetry: No. 123
Raw formation energy (eV/f.u.): 3.00
Distance to the lowest polymorph of the same formula (meV/atom): 521
Calculated volume (Å³ per cell): 60



No. 2
DFT (PBEsol) results for ZnInNi2 after structural relaxation.

a = 3.0504 Å, b = 3.0504 Å, c = 5.8927 Å
α = 90.00°, β = 90.00°, γ = 90.00°
Sites, in units of the cell vectors:
Ni  0.0000  0.0000  0.0255
Zn  0.0000  0.0000  0.4428
In  0.5000  0.5000  0.7775
Ni  0.5000  0.5000  0.2542

Summary:
VASP energy (eV/cell): -16.97
Symmetry: No. 99
Calculated volume (Å³ per cell): 55



No. 3
DFT (PBEsol) results for YGeH2Se after structural relaxation.

a = 3.9073 Å, b = 3.9073 Å, c = 5.9181 Å
α = 90.00°, β = 90.00°, γ = 90.00°
Sites, in units of the cell vectors:
H  0.5000  0.0000  0.0000
Y  0.0000  0.0000  0.5000
Se  0.0000  0.0000  0.0000
Ge  0.5000  0.5000  0.5000
H  0.0000  0.5000  0.0000

Summary:
VASP energy (eV/cell): -21.61
Symmetry: No. 123
Distance to the lowest polymorph of the same formula (meV/atom): 463
Calculated volume (Å³ per cell): 90



Question: VASP energy of number 2 (ZnInNi2)?
Answer: -16.97 eV/cell